GGA-PBE CeSmEuAl, optimized geometry; electronic total energy = -24.67 eV per cell; energy relative to the elements = 0.00 eV/f.u.; space group = F-43m (216); crystal system = cubic; ρ = 6.8 g/cm³
1.0
5.4492 0.0000 0.0000
2.7246 4.7191 0.0000
2.7246 1.5730 4.4493
Eu Ce Sm Al
1 1 1 1
direct
0.5000 0.5000 0.5000 Eu
0.2500 0.2500 0.2500 Ce
0.7500 0.7500 0.7500 Sm
0.0000 0.0000 0.0000 Al